{
  "formula": "PaTl2PdO8",
  "functional": "PBE",
  "state": "optimized geometry",
  "sg": "P2/m (10)",
  "raw_formation_energy_mev_per_atom": -1266.0,
  "lattice_angstrom": [[5.096, -0.058, -0.003], [-0.046, 5.023, -0.006], [0.004, 0.008, 6.729]],
  "species": ["O", "O", "O", "O", "O", "O", "O", "O", "Tl", "Tl", "Pa", "Pd"],
  "frac_coords": [[0.316, 0.286, 0.500], [0.163, 0.804, 0.236], [0.684, 0.714, 0.500], [0.837, 0.196, 0.764], [0.837, 0.196, 0.236], [0.693, 0.744, 0.000], [0.307, 0.256, 0.000], [0.163, 0.804, 0.764], [0.500, 0.500, 0.241], [0.500, 0.500, 0.759], [0.000, 0.000, 0.500], [0.000, 0.000, 0.000]]
}

{
  "formula": "Pa3Tl4PdO12",
  "functional": "PBE",
  "state": "optimized geometry",
  "sg": "Im-3m (229)",
  "raw_formation_energy_mev_per_atom": -2086.2,
  "lattice_angstrom": [[-0.513, 0.253, -7.443], [7.154, -0.808, 1.975], [-3.960, -5.782, 2.572]],
  "species": ["Tl", "Tl", "Tl", "Tl", "Pa", "Pa", "Pa", "O", "O", "O", "O", "O", "O", "O", "O", "O", "O", "O", "O", "Pd"],
  "frac_coords": [[0.000, 0.000, 0.500], [0.000, 0.500, 0.000], [0.500, 0.500, 0.500], [0.500, 0.000, 0.000], [0.500, 0.500, 0.000], [0.000, 0.500, 0.500], [0.500, 0.000, 0.500], [0.500, 0.250, 0.750], [0.500, 0.750, 0.250], [0.000, 0.243, 0.243], [0.757, 0.000, 0.757], [0.757, 0.757, 0.000], [0.750, 0.500, 0.250], [0.243, 0.243, 0.000], [0.250, 0.750, 0.500], [0.000, 0.757, 0.757], [0.250, 0.500, 0.750], [0.750, 0.250, 0.500], [0.243, 0.000, 0.243], [0.000, 0.000, 0.000]]
}

{
  "formula": "PaTl2Pd2O6",
  "functional": "PBE",
  "state": "optimized geometry",
  "sg": "R-3m (166)",
  "raw_formation_energy_mev_per_atom": -1202.8,
  "lattice_angstrom": [[-4.558, -3.075, -3.228], [-4.232, -3.609, 3.117], [-6.434, 2.371, 0.530]],
  "species": ["Tl", "Tl", "Pd", "Pd", "Pa", "O", "O", "O", "O", "O", "O"],
  "frac_coords": [[0.216, 0.216, 0.353], [0.784, 0.784, 0.647], [0.410, 0.410, 0.769], [0.590, 0.590, 0.231], [0.000, 0.000, 0.000], [0.231, 0.231, 0.771], [0.231, 0.766, 0.771], [0.769, 0.234, 0.229], [0.769, 0.769, 0.229], [0.766, 0.231, 0.771], [0.234, 0.769, 0.229]]
}

{
  "formula": "Pa3TlPd4O12",
  "functional": "PBE",
  "state": "optimized geometry",
  "sg": "R32 (155)",
  "raw_formation_energy_mev_per_atom": -1762.5,
  "lattice_angstrom": [[-3.600, 6.415, 0.584], [-3.250, -3.925, -5.337], [-0.888, -3.663, 6.344]],
  "species": ["Pa", "Pa", "Pa", "O", "O", "O", "O", "O", "O", "O", "O", "O", "O", "O", "O", "Pd", "Pd", "Pd", "Pd", "Tl"],
  "frac_coords": [[0.444, 0.000, 0.556], [0.556, 0.444, 0.000], [0.000, 0.556, 0.444], [0.992, 0.236, 0.329], [0.668, 0.500, 0.332], [0.882, 0.500, 0.118], [0.332, 0.668, 0.500], [0.008, 0.671, 0.764], [0.118, 0.882, 0.500], [0.329, 0.992, 0.236], [0.500, 0.332, 0.668], [0.671, 0.764, 0.008], [0.764, 0.008, 0.671], [0.236, 0.329, 0.992], [0.500, 0.118, 0.882], [0.500, 0.500, 0.500], [0.500, 0.887, 0.113], [0.887, 0.113, 0.500], [0.113, 0.500, 0.887], [0.000, 0.000, 0.000]]
}

{
  "formula": "UPaPdO6",
  "functional": "PBE",
  "state": "optimized geometry",
  "sg": "P-31c (163)",
  "raw_formation_energy_mev_per_atom": -2527.8,
  "lattice_angstrom": [[5.933, 0.000, 0.000], [-2.966, 5.138, 0.000], [0.000, 0.000, 9.245]],
  "species": ["Pd", "Pd", "O", "O", "O", "O", "O", "O", "O", "O", "O", "O", "O", "O", "Pa", "Pa", "U", "U"],
  "frac_coords": [[0.000, 0.000, 0.500], [0.000, 0.000, 0.000], [0.359, 0.370, 0.861], [0.989, 0.630, 0.361], [0.641, 0.630, 0.139], [0.630, 0.989, 0.861], [0.011, 0.641, 0.861], [0.630, 0.641, 0.639], [0.011, 0.370, 0.639], [0.359, 0.989, 0.639], [0.370, 0.359, 0.361], [0.989, 0.359, 0.139], [0.641, 0.011, 0.361], [0.370, 0.011, 0.139], [0.667, 0.333, 0.750], [0.333, 0.667, 0.250], [0.333, 0.667, 0.750], [0.667, 0.333, 0.250]]
}